VASP calculation (PBE) on crystalline KIn4Au6 at its relaxed geometry.

Output
The crystal system is hexagonal.

abc: 4.6120 7.9443 7.9443
angles: 120.00 90.00 90.00
Last column: nearest neighbours and their distance in Å.
Fractional coordinates of all 11 atoms:
1 K 0.0000 0.3333 0.6667  9 Au 3.52-3.70, 6 In 3.60
2 In 0.5000 0.6080 0.5498  7 Au 2.77-3.08
3 In 0.5000 0.9418 0.3920  7 Au 2.77-3.08
4 In 0.0000 0.0000 0.0000  9 Au 2.95-3.02
5 In 0.5000 0.4502 0.0582  7 Au 2.77-3.08
6 Au 0.5000 0.0541 0.7995  5 In 2.77-3.08, 2 Au 2.89
7 Au 0.5000 0.2005 0.2546  5 In 2.77-3.08, 2 Au 2.89
8 Au 0.0000 0.8489 0.5679  4 Au 2.89-2.93, 5 In 2.95-3.02
9 Au 0.0000 0.4321 0.2810  4 Au 2.89-2.93, 5 In 2.95-3.02
10 Au 0.0000 0.7190 0.1511  4 Au 2.89-2.93, 5 In 2.95-3.02
11 Au 0.5000 0.7454 0.9459  5 In 2.77-3.08, 2 Au 2.89

VASP calculation (PBE) on crystalline K2In2Au3 at its relaxed geometry.

Output
The crystal system is monoclinic.

abc: 4.6094 6.6975 7.8736
angles: 121.88 90.00 110.13
Last column: nearest neighbours and their distance in Å.
Fractional coordinates of all 7 atoms:
1 K 0.8414 0.6828 0.2081  5 Au 3.36-3.63, 3 In 3.52-3.64, 2 K 3.59
2 K 0.1586 0.3172 0.7919  5 Au 3.36-3.63, 3 In 3.52-3.64, 2 K 3.59
3 In 0.8572 0.7144 0.7260  5 Au 2.87-2.97
4 In 0.1428 0.2856 0.2740  5 Au 2.87-2.97
5 Au 0.5000 0.0000 0.0000  2 Au 2.93, 4 In 2.97
6 Au 0.5837 0.1674 0.4300  3 In 2.87-2.90, 2 Au 2.87-2.93
7 Au 0.4163 0.8326 0.5700  3 In 2.87-2.90, 2 Au 2.87-2.93

VASP calculation (PBE) on crystalline K2In5Au3 at its relaxed geometry.

Output
The crystal system is orthorhombic.

abc: 7.0286 9.6335 9.6335
angles: 74.01 68.60 68.60
Last column: nearest neighbours and their distance in Å.
Fractional coordinates of all 20 atoms:
1 K 0.1299 0.6195 0.1208  10 In 3.54-3.82, 6 Au 3.67-3.83
2 K 0.6299 0.1208 0.6195  10 In 3.54-3.82, 6 Au 3.67-3.83
3 K 0.8701 0.3805 0.8792  10 In 3.54-3.82, 6 Au 3.67-3.83
4 K 0.3701 0.8792 0.3805  10 In 3.54-3.82, 6 Au 3.67-3.83
5 In 0.3890 0.2494 0.9726  3 Au 2.77-2.82, 2 In 3.04
6 In 0.8890 0.9726 0.2494  3 Au 2.77-2.82, 2 In 3.04
7 In 0.6110 0.7506 0.0274  3 Au 2.77-2.82, 2 In 3.04
8 In 0.1110 0.0274 0.7506  3 Au 2.77-2.82, 2 In 3.04
9 In 0.4993 0.7507 0.7507  2 Au 2.85, 2 In 3.04
10 In 0.5007 0.2493 0.2493  2 Au 2.85, 2 In 3.04
11 In 0.7500 0.5000 0.5000  4 Au 2.84
12 In 0.2500 0.5000 0.5000  4 Au 2.84
13 In 0.0007 0.2493 0.2493  2 Au 2.85, 2 In 3.04
14 In 0.9993 0.7507 0.7507  2 Au 2.85, 2 In 3.04
15 Au 0.3755 0.5011 0.7480  5 In 2.77-2.85
16 Au 0.8755 0.7480 0.5011  5 In 2.77-2.85
17 Au 0.6245 0.4989 0.2520  5 In 2.77-2.85
18 Au 0.1245 0.2520 0.4989  5 In 2.77-2.85
19 Au 0.2500 0.0000 0.0000  4 In 2.82
20 Au 0.7500 0.0000 0.0000  4 In 2.82

VASP calculation (PBE) on crystalline KIn8Au2 at its relaxed geometry.

Output
The crystal system is tetragonal.

abc: 6.3918 6.3918 9.5760
angles: 90.00 90.00 90.00
Last column: nearest neighbours and their distance in Å.
Fractional coordinates of all 11 atoms:
1 K 0.5000 0.5000 0.5000  8 In 3.74
2 In 0.7516 0.7516 0.1895  2 Au 2.90, 4 In 3.18-3.22
3 In 0.7516 0.2484 0.8105  2 Au 2.90, 4 In 3.18-3.22
4 In 0.7516 0.7516 0.8105  2 Au 2.90, 4 In 3.18-3.22
5 In 0.7516 0.2484 0.1895  2 Au 2.90, 4 In 3.18-3.22
6 In 0.2484 0.7516 0.1895  2 Au 2.90, 4 In 3.18-3.22
7 In 0.2484 0.7516 0.8105  2 Au 2.90, 4 In 3.18-3.22
8 In 0.2484 0.2484 0.1895  2 Au 2.90, 4 In 3.18-3.22
9 In 0.2484 0.2484 0.8105  2 Au 2.90, 4 In 3.18-3.22
10 Au 0.5000 0.0000 0.0000  8 In 2.90
11 Au 0.0000 0.5000 0.0000  8 In 2.90

VASP calculation (PBE) on crystalline KIn2Au at its relaxed geometry.

Output
The crystal system is orthorhombic.

abc: 6.4542 6.4542 3.0260
angles: 90.00 90.00 121.68
Last column: nearest neighbours and their distance in Å.
Fractional coordinates of all 4 atoms:
1 Au 0.0000 0.5000 0.5000  2 Au 3.03, 2 K 3.14
2 In 0.0000 0.0000 0.0000  4 In 3.03-3.14
3 In 0.5000 0.5000 0.0000  4 In 3.03-3.14
4 K 0.5000 0.0000 0.5000  2 K 3.03, 2 Au 3.14

VASP calculation (PBE) on crystalline K3In5Au6 at its relaxed geometry.

Output
The crystal system is orthorhombic.

abc: 4.7162 10.4710 14.3301
angles: 90.00 90.00 90.00
Last column: nearest neighbours and their distance in Å.
Fractional coordinates of all 28 atoms:
1 K 0.0000 0.2518 0.6903  6 Au 3.36-3.50, 8 In 3.46-3.65
2 K 0.5000 0.7482 0.1903  6 Au 3.36-3.50, 8 In 3.46-3.65
3 K 0.5000 0.7482 0.8097  6 Au 3.36-3.50, 8 In 3.46-3.65
4 K 0.0000 0.2365 0.0000  6 Au 3.37-3.61, 6 In 3.57-3.78
5 K 0.5000 0.7635 0.5000  6 Au 3.37-3.61, 6 In 3.57-3.78
6 K 0.0000 0.2518 0.3097  6 Au 3.36-3.50, 8 In 3.46-3.65
7 In 0.0000 0.5150 0.8569  5 Au 2.84-3.14, 1 In 3.13
8 In 0.0000 0.9077 0.6771  5 Au 2.83-2.95
9 In 0.0000 0.7412 0.0000  6 Au 2.91-3.21, 2 In 3.13
10 In 0.5000 0.4850 0.6431  5 Au 2.84-3.14, 1 In 3.13
11 In 0.5000 0.2588 0.5000  6 Au 2.91-3.21, 2 In 3.13
12 In 0.0000 0.5150 0.1431  5 Au 2.84-3.14, 1 In 3.13
13 In 0.5000 0.4850 0.3569  5 Au 2.84-3.14, 1 In 3.13
14 In 0.0000 0.9077 0.3229  5 Au 2.83-2.95
15 In 0.5000 0.0923 0.8229  5 Au 2.83-2.95
16 In 0.5000 0.0923 0.1771  5 Au 2.83-2.95
17 Au 0.0000 0.9617 0.8769  4 In 2.83-2.92, 2 Au 2.95
18 Au 0.5000 0.0383 0.6231  4 In 2.83-2.92, 2 Au 2.95
19 Au 0.5000 0.3661 0.8349  4 In 2.84-3.02, 1 Au 2.98
20 Au 0.5000 0.5391 0.0000  2 Au 2.98, 6 In 3.14-3.17
21 Au 0.0000 0.4609 0.5000  2 Au 2.98, 6 In 3.14-3.17
22 Au 0.0000 0.6339 0.6651  4 In 2.84-3.02, 1 Au 2.98
23 Au 0.0000 0.6339 0.3349  4 In 2.84-3.02, 1 Au 2.98
24 Au 0.5000 0.9486 0.0000  4 Au 2.95, 4 In 2.95-3.21
25 Au 0.0000 0.9617 0.1231  4 In 2.83-2.92, 2 Au 2.95
26 Au 0.5000 0.3661 0.1651  4 In 2.84-3.02, 1 Au 2.98
27 Au 0.0000 0.0514 0.5000  4 Au 2.95, 4 In 2.95-3.21
28 Au 0.5000 0.0383 0.3769  4 In 2.83-2.92, 2 Au 2.95

| no. | E_form (eV/atom) | density of states at the Fermi level (states/eV/cell) |
| --- | --- | --- |
| 1 | -0.238 | 3.038 |
| 2 | -0.267 | 3.025 |
| 3 | -0.256 | 9.932 |
| 4 | 0.009 | 6.208 |
| 5 | 0.053 | 1.942 |
| 6 | -0.270 | 11.554 |